Computed, not measured: PuNbRe4 after structural relaxation at the GGA-PBE level of DFT.

abc: 5.3165 5.3165 5.3165
angles: 60.00 60.00 60.00
Positions (direct):
Pu 0.0000 0.0000 0.0000
Nb 0.7500 0.7500 0.7500
Re 0.3754 0.3754 0.3754
Re 0.3754 0.3754 0.8738
Re 0.3754 0.8738 0.3754
Re 0.8738 0.3754 0.3754

Computed properties:
The space group is F-43m (216). The value obtained for the formation energy from the elements is 0.246 eV per formula unit.

Computed, not measured: Lu2HgOs after structural relaxation at the GGA-PBE level of DFT.

abc: 3.3913 3.3913 7.4647
angles: 90.00 90.00 90.00
Positions (direct):
Lu 0.0000 0.0000 0.2170
Lu 0.0000 0.0000 0.7830
Hg 0.5000 0.5000 0.5000
Os 0.5000 0.5000 0.0000

Computed properties:
The space group is P4/mmm (123). Its energy above the most stable polymorph in this dataset is 0 meV/atom. The value obtained for the formation energy from the elements is -1.857 eV per formula unit.

Computed, not measured: TiCd2OsI after structural relaxation at the GGA-PBE level of DFT.

abc: 5.4017 5.4017 4.6077
angles: 90.00 90.00 90.00
Positions (direct):
Ti 0.0000 0.0000 0.0000
Cd 0.0000 0.5000 0.5000
Cd 0.5000 0.0000 0.5000
Os 0.0000 0.0000 0.5000
I 0.5000 0.5000 0.0000

Computed properties:
The calculation puts the uncorrected formation energy at 0.454 eV per atom. The space group is P4/mmm (123).

Computed, not measured: LiLaMn after structural relaxation at the GGA-PBE level of DFT.

abc: 6.8839 6.8839 6.8839
angles: 90.00 90.00 90.00
Positions (direct):
Li 0.0000 0.0000 0.0000
Li 0.0000 0.5000 0.5000
Li 0.5000 0.0000 0.5000
Li 0.5000 0.5000 0.0000
La 0.2500 0.2500 0.2500
La 0.2500 0.7500 0.7500
La 0.7500 0.2500 0.7500
La 0.7500 0.7500 0.2500
Mn 0.0000 0.0000 0.5000
Mn 0.0000 0.5000 0.0000
Mn 0.5000 0.0000 0.0000
Mn 0.5000 0.5000 0.5000

Computed properties:
The space group is F-43m (216). Its energy above the most stable polymorph in this dataset is 564 meV/atom. The value obtained for the formation energy from the elements is 2.584 eV per formula unit.

Computed, not measured: MoRh2Br after structural relaxation at the GGA-PBE level of DFT.

abc: 2.9489 4.6583 9.0951
angles: 90.00 90.00 90.00
Positions (direct):
Mo 0.0000 0.0000 0.0000
Mo 0.5000 0.5000 0.5000
Rh 0.0000 0.5000 0.2435
Rh 0.0000 0.5000 0.7565
Rh 0.5000 0.0000 0.2565
Rh 0.5000 0.0000 0.7435
Br 0.0000 0.0000 0.5000
Br 0.5000 0.5000 0.0000

Computed properties:
The calculation puts the uncorrected formation energy at 0.521 eV per atom. The space group is Immm (71). Its energy above the most stable polymorph in this dataset is 351 meV/atom.

Computed, not measured: NaReHg2 after structural relaxation at the GGA-PBE level of DFT.

abc: 4.7700 4.7700 18.1703
angles: 90.00 90.00 90.00
Positions (direct):
Na 0.0000 0.0000 0.0000
Na 0.0000 0.5000 0.2500
Na 0.5000 0.0000 0.7500
Na 0.5000 0.5000 0.5000
Re 0.0000 0.0000 0.5000
Re 0.0000 0.5000 0.7500
Re 0.5000 0.0000 0.2500
Re 0.5000 0.5000 0.0000
Hg 0.1945 0.2500 0.6250
Hg 0.2500 0.6945 0.8750
Hg 0.2500 0.8055 0.3750
Hg 0.3055 0.2500 0.1250
Hg 0.6945 0.7500 0.1250
Hg 0.7500 0.1945 0.3750
Hg 0.7500 0.3055 0.8750
Hg 0.8055 0.7500 0.6250

Computed properties:
The space group is I-42d (122). Its energy above the most stable polymorph in this dataset is 323 meV/atom. The value obtained for the formation energy from the elements is 4.384 eV per formula unit.

Computed, not measured: SrMg2Hg after structural relaxation at the GGA-PBE level of DFT.

abc: 7.5447 7.5427 5.3444
angles: 90.00 134.51 90.00
Positions (direct):
Sr 0.0000 0.0000 0.0000
Sr 0.5000 0.5000 0.0000
Mg 0.0000 0.2520 0.5000
Mg 0.0000 0.5003 0.0000
Mg 0.5000 0.0003 0.0000
Mg 0.5000 0.7520 0.5000
Hg 0.0000 0.7477 0.5000
Hg 0.5000 0.2477 0.5000

Computed properties:
The space group is C2 (5). The value obtained for the formation energy from the elements is -0.799 eV per formula unit.

Computed, not measured: CaBiRh after structural relaxation at the GGA-PBE level of DFT.

abc: 4.8614 4.8614 6.4128
angles: 90.00 90.00 90.00
Positions (direct):
Ca 0.0000 0.5000 0.0000
Ca 0.5000 0.0000 0.5000
Bi 0.0000 0.5000 0.5000
Bi 0.5000 0.0000 0.0000
Rh 0.0000 0.0000 0.2500
Rh 0.0000 0.0000 0.7500

Computed properties:
The space group is P4_2/mmc (131). The value obtained for the formation energy from the elements is -1.293 eV per formula unit.

Computed, not measured: Cu3BiS4 after structural relaxation at the GGA-PBE level of DFT.

abc: 6.5918 12.9730 3.8564
angles: 90.00 90.00 90.00
Positions (direct):
Cu 0.0000 0.0000 0.0000
Cu 0.0000 0.2467 0.0000
Cu 0.0000 0.7533 0.0000
Cu 0.5000 0.2533 0.0000
Cu 0.5000 0.5000 0.0000
Cu 0.5000 0.7467 0.0000
Bi 0.0000 0.5000 0.5000
Bi 0.5000 0.0000 0.5000
S 0.2444 0.3758 0.0000
S 0.2444 0.6242 0.0000
S 0.2556 0.1242 0.0000
S 0.2556 0.8758 0.0000
S 0.7444 0.1242 0.0000
S 0.7444 0.8758 0.0000
S 0.7556 0.3758 0.0000
S 0.7556 0.6242 0.0000

Computed properties:
The calculation puts the uncorrected formation energy at -0.081 eV per atom. The space group is Cmmm (65). Its energy above the most stable polymorph in this dataset is 135 meV/atom.

Computed, not measured: Tm3HfO after structural relaxation at the GGA-PBE level of DFT.

abc: 4.7466 4.7466 4.7466
angles: 90.00 90.00 90.00
Positions (direct):
Tm 0.0000 0.0000 0.5000
Tm 0.0000 0.5000 0.0000
Tm 0.5000 0.0000 0.0000
Hf 0.5000 0.5000 0.5000
O 0.0000 0.0000 0.0000

Computed properties:
The calculation puts the uncorrected formation energy at -1.072 eV per atom. The space group is Pm-3m (221).

Computed, not measured: Hg6SbPb10 after structural relaxation at the GGA-PBE level of DFT.

abc: 9.2528 9.2528 6.8609
angles: 90.00 90.00 120.00
Positions (direct):
Hg 0.0000 0.3902 0.2274
Hg 0.0000 0.6098 0.7726
Hg 0.3902 0.0000 0.2274
Hg 0.3902 0.3902 0.7726
Hg 0.6098 0.0000 0.7726
Hg 0.6098 0.6098 0.2274
Sb 0.0000 0.0000 0.0000
Pb 0.0000 0.2653 0.6995
Pb 0.0000 0.7347 0.3005
Pb 0.2653 0.0000 0.6995
Pb 0.2653 0.2653 0.3005
Pb 0.3333 0.6667 0.0000
Pb 0.3333 0.6667 0.5000
Pb 0.6667 0.3333 0.0000
Pb 0.6667 0.3333 0.5000
Pb 0.7347 0.0000 0.3005
Pb 0.7347 0.7347 0.6995

Computed properties:
The calculation puts the uncorrected formation energy at 0.046 eV per atom. The space group is P-31m (162).

Computed, not measured: LaCdNiH6 after structural relaxation at the GGA-PBE level of DFT.

abc: 4.6792 4.6792 4.5569
angles: 90.00 90.00 120.00
Positions (direct):
La 0.0000 0.0000 0.0000
Cd 0.3333 0.6667 0.5000
Ni 0.6667 0.3333 0.5000
H 0.5249 0.0498 0.2245
H 0.5249 0.0498 0.7755
H 0.5249 0.4751 0.2245
H 0.5249 0.4751 0.7755
H 0.9502 0.4751 0.2245
H 0.9502 0.4751 0.7755

Computed properties:
The space group is P-6m2 (187).

Sequential calculated total energy output: -12.325 -5.608 -4.047 -4.476 -6.281 -2.497 -1.493 -4.842 -4.165 -6.737 -2.484 -3.670 eV per atom
Sequential ρ output: 16.9 14.3 7.3 4.1 10.1 9.8 5.2 7.7 5.3 10.9 11.1 6.1 g/cm3